Record 1
Entry from Alexandria: a crystal of ZrPNF2 relaxed with PBEsol (meta-GGA SCAN).

The total energy comes out at -12.857 eV per atom.

Cell and atoms, written as CIF:
```
data_ZrPNF2
_chemical_formula_sum 'Zr1 P1 N1 F2'
_cell_length_a 4.0807
_cell_length_b 4.0807
_cell_length_c 4.3204
_cell_angle_alpha 90.00
_cell_angle_beta 90.00
_cell_angle_gamma 90.00
_space_group_name_H-M_alt 'P 4/m m m'
_space_group_IT_number 123
_space_group_name_Hall '-P 4 2'
loop_
_atom_site_label
_atom_site_type_symbol
_atom_site_fract_x
_atom_site_fract_y
_atom_site_fract_z
Zr1 Zr 0.0000 0.0000 0.0000
P1 P 0.5000 0.5000 0.5000
N1 N 0.0000 0.0000 0.5000
F1 F 0.0000 0.5000 0.0000
```



Record 2
Entry from Alexandria: a crystal of CdHg2Sb2 relaxed with PBEsol (meta-GGA SCAN).

The total energy comes out at -48.053 eV per atom.

Cell and atoms, written as CIF:
```
data_CdHg2Sb2
_chemical_formula_sum 'Cd2 Hg4 Sb4'
_cell_length_a 4.2316
_cell_length_b 4.2316
_cell_length_c 15.1994
_cell_angle_alpha 90.00
_cell_angle_beta 90.00
_cell_angle_gamma 90.00
_space_group_name_H-M_alt 'I 4/m m m'
_space_group_IT_number 139
_space_group_name_Hall '-I 4 2'
loop_
_atom_site_label
_atom_site_type_symbol
_atom_site_fract_x
_atom_site_fract_y
_atom_site_fract_z
Cd1 Cd 0.0000 0.0000 0.0000
Hg1 Hg 0.0000 0.0000 0.4082
Sb1 Sb 0.0000 0.5000 0.2500
```